[1]
# SrPrNd14 | Alexandria via LeMat-Bulk | PBE | relaxed
# Formation enthalpy at 0 K ... 0.041 eV per atom
# Total magnetic moment ... 0.00 μB/f.u.
# Total energy ... -4.53 eV/atom
# Crystal system ... tetragonal
data_SrPrNd14
_chemical_formula_sum 'Sr1 Pr1 Nd14'
_symmetry_space_group_name_H-M 'P 4/m m m'
_symmetry_Int_Tables_number 123
_symmetry_space_group_name_Hall '-P 4 2'
_cell_length_a 7.4350
_cell_length_b 7.4350
_cell_length_c 10.4460
_cell_angle_alpha 90.00
_cell_angle_beta 90.00
_cell_angle_gamma 90.00
loop_
_atom_site_label
_atom_site_fract_x
_atom_site_fract_y
_atom_site_fract_z
Sr1 0.0000 0.0000 0.0000
Pr1 0.5000 0.5000 0.0000
Nd1 0.0000 0.0000 0.5000
Nd2 0.0000 0.5000 0.0000
Nd3 0.0000 0.5000 0.5000
Nd4 0.2549 0.2549 0.2552
Nd5 0.5000 0.5000 0.5000

[2]
# BaAsSe2 | Alexandria via LeMat-Bulk | PBE | relaxed
# Total magnetic moment ... 0.00 μB/f.u.
# Total energy ... -4.13 eV/atom
# Crystal system ... trigonal
data_BaAsSe2
_chemical_formula_sum 'Ba3 As3 Se6'
_symmetry_space_group_name_H-M 'R -3 m'
_symmetry_Int_Tables_number 166
_symmetry_space_group_name_Hall '-R 3 2"'
_cell_length_a 4.6041
_cell_length_b 4.6041
_cell_length_c 19.0096
_cell_angle_alpha 90.00
_cell_angle_beta 90.00
_cell_angle_gamma 120.00
loop_
_atom_site_label
_atom_site_fract_x
_atom_site_fract_y
_atom_site_fract_z
Ba1 0.0000 0.0000 0.0000
As1 0.0000 0.0000 0.5000
Se1 0.0000 0.0000 0.2321

[3]
# Pr2ZnCu12Ni3 | Alexandria via LeMat-Bulk | PBE | relaxed
# Formation enthalpy at 0 K ... 0.058 eV per atom
# Total magnetic moment ... 0.00 μB/f.u.
# Total energy ... -4.24 eV/atom
# Crystal system ... trigonal
data_Pr2ZnCu12Ni3
_chemical_formula_sum 'Pr6 Zn3 Cu36 Ni9'
_symmetry_space_group_name_H-M 'R -3 m'
_symmetry_Int_Tables_number 166
_symmetry_space_group_name_Hall '-R 3 2"'
_cell_length_a 8.5290
_cell_length_b 8.5290
_cell_length_c 12.4200
_cell_angle_alpha 90.00
_cell_angle_beta 90.00
_cell_angle_gamma 120.00
loop_
_atom_site_label
_atom_site_fract_x
_atom_site_fract_y
_atom_site_fract_z
Pr1 0.0000 0.0000 0.2466
Zn1 0.0000 0.0000 0.5000
Cu1 0.0186 0.5093 0.2081
Cu2 0.0544 0.5272 0.6018
Ni1 0.0000 0.5000 0.0000

| no. | calculated density (g/cm3) |
| --- | --- |
| 1 | 6.46 |
| 2 | 5.28 |
| 3 | 8.19 |